Here is a relaxed WBrO2F crystal from Alexandria. Energies are from GGA+U.

```
5
Lattice="3.945 0.000 0.000 0.000 3.945 0.000 0.000 0.000 4.333" Properties=species:S:1:pos:R:3 pbc="T T T"
W 0.000 0.000 0.000
Br 1.972 1.972 2.167
O 0.000 1.972 0.000
O 1.972 0.000 0.000
F 0.000 0.000 2.167
```

Computed properties:
As for the spin magnetization: 0.117 μB per atom. The value obtained for the calculated volume is 13.49 A^3/atom. The energy is -5.17 eV/atom.